[1]
Entry from Alexandria: crystalline Y2PtSe at its relaxed geometry (PBE).

Cell lengths 6.547, 6.547, 6.547 Å; angles 111.15, 111.15, 106.17 degrees
Sites, in units of the cell vectors:
1 Y 0.116 0.625 0.991
2 Y 0.375 0.366 0.491
3 Y 0.634 0.125 0.009
4 Y 0.875 0.884 0.509
5 Pt 0.000 0.000 0.000
6 Pt 0.750 0.250 0.500
7 Se 0.250 0.750 0.500
8 Se 0.500 0.500 0.000

Output
* space-group type: No. 122
* spin magnetization: 0.0 Bohr magnetons per cell
* formation energy without anion corrections: -1.11 eV/atom
* Fermi-level density of states: 4.6 states/eV per cell
* crystal system: tetragonal
* mass density: 7.0 Mg/m³

=====

[2]
Entry from Alexandria: crystalline YPt2Se at its relaxed geometry (PBE).

Cell lengths 3.747, 3.747, 5.579 Å; angles 90.00, 90.00, 90.00 degrees
Sites, in units of the cell vectors:
1 Y 0.000 0.000 0.000
2 Pt 0.500 0.500 0.251
3 Pt 0.500 0.500 0.749
4 Se 0.000 0.000 0.500

Output
* space-group type: No. 123
* spin magnetization: 0.0 Bohr magnetons per cell
* formation energy without anion corrections: -0.75 eV/atom
* Fermi-level density of states: 2.3 states/eV per cell
* crystal system: tetragonal
* mass density: 11.8 Mg/m³

=====

[3]
Entry from Alexandria: crystalline YPt3Se at its relaxed geometry (PBE).

Cell lengths 4.747, 4.747, 4.747 Å; angles 90.00, 90.00, 90.00 degrees
Sites, in units of the cell vectors:
1 Y 0.000 0.000 0.000
2 Pt 0.000 0.500 0.500
3 Pt 0.500 0.000 0.500
4 Pt 0.500 0.500 0.000
5 Se 0.500 0.500 0.500

Output
* space-group type: No. 221
* spin magnetization: 0.0 Bohr magnetons per cell
* formation energy without anion corrections: -0.22 eV/atom
* Fermi-level density of states: 2.5 states/eV per cell
* crystal system: cubic
* mass density: 11.7 Mg/m³
* excess energy over the best structure of this formula in the dataset: 0.00 eV/f.u.

=====

[4]
Entry from Alexandria: crystalline YPt2Se at its relaxed geometry (PBE).

Cell lengths 5.119, 5.119, 5.119 Å; angles 130.10, 130.10, 73.24 degrees
Sites, in units of the cell vectors:
1 Y 0.000 0.000 0.000
2 Pt 0.250 0.750 0.500
3 Pt 0.500 0.500 0.000
4 Se 0.750 0.250 0.500

Output
* space-group type: No. 119
* spin magnetization: 0.0 Bohr magnetons per cell
* formation energy without anion corrections: -0.65 eV/atom
* Fermi-level density of states: 2.2 states/eV per cell
* crystal system: tetragonal
* mass density: 12.1 Mg/m³

=====

[5]
Entry from Alexandria: crystalline Y4PtSe at its relaxed geometry (PBE).

Cell lengths 6.089, 6.089, 6.089 Å; angles 60.00, 60.00, 60.00 degrees
Sites, in units of the cell vectors:
1 Y 0.124 0.124 0.124
2 Y 0.124 0.124 0.627
3 Y 0.124 0.627 0.124
4 Y 0.627 0.124 0.124
5 Pt 0.750 0.750 0.750
6 Se 0.500 0.500 0.500

Output
* space-group type: No. 216
* spin magnetization: 0.0 Bohr magnetons per cell
* formation energy without anion corrections: 0.25 eV/atom
* Fermi-level density of states: 9.0 states/eV per cell
* crystal system: cubic
* mass density: 6.5 Mg/m³

=====

[6]
Entry from Alexandria: crystalline Y2PtSe at its relaxed geometry (PBE).

Cell lengths 5.155, 5.155, 5.155 Å; angles 129.26, 114.18, 87.57 degrees
Sites, in units of the cell vectors:
1 Y 0.250 0.250 0.000
2 Y 0.750 0.750 0.000
3 Pt 0.500 0.000 0.500
4 Se 0.000 0.500 0.500

Output
* space-group type: No. 71
* spin magnetization: 0.0 Bohr magnetons per cell
* formation energy without anion corrections: -1.15 eV/atom
* Fermi-level density of states: 3.1 states/eV per cell
* crystal system: orthorhombic
* mass density: 8.1 Mg/m³

=====

[7]
Entry from Alexandria: crystalline YPt2Se at its relaxed geometry (PBE).

Cell lengths 5.462, 5.462, 5.462 Å; angles 47.59, 47.59, 47.59 degrees
Sites, in units of the cell vectors:
1 Y 0.000 0.000 0.000
2 Pt 0.219 0.219 0.219
3 Pt 0.781 0.781 0.781
4 Se 0.500 0.500 0.500

Output
* space-group type: No. 166
* spin magnetization: 0.0 Bohr magnetons per cell
* formation energy without anion corrections: -0.63 eV/atom
* Fermi-level density of states: 3.9 states/eV per cell
* crystal system: trigonal
* mass density: 11.4 Mg/m³

=====

[8]
Entry from Alexandria: crystalline YPt2Se at its relaxed geometry (PBE).

Cell lengths 4.682, 4.682, 4.790 Å; angles 106.97, 106.97, 61.90 degrees
Sites, in units of the cell vectors:
1 Y 0.000 0.000 0.000
2 Pt 0.229 0.229 0.621
3 Pt 0.617 0.617 0.777
4 Se 0.723 0.723 0.337

Output
* space-group type: No. 8
* spin magnetization: 0.0 Bohr magnetons per cell
* formation energy without anion corrections: -0.76 eV/atom
* Fermi-level density of states: 1.7 states/eV per cell
* crystal system: monoclinic
* mass density: 10.6 Mg/m³

=====

[9]
Entry from Alexandria: crystalline YPt2Se at its relaxed geometry (PBE).

Cell lengths 3.674, 4.242, 5.399 Å; angles 90.00, 90.29, 90.00 degrees
Sites, in units of the cell vectors:
1 Y 0.000 0.000 0.000
2 Pt 0.499 0.500 0.758
3 Pt 0.501 0.500 0.242
4 Se 0.500 0.000 0.500

Output
* space-group type: No. 10
* spin magnetization: 0.0 Bohr magnetons per cell
* formation energy without anion corrections: -0.86 eV/atom
* Fermi-level density of states: 0.8 states/eV per cell
* crystal system: monoclinic
* mass density: 11.0 Mg/m³

=====

[10]
Entry from Alexandria: crystalline Y2PtSe at its relaxed geometry (PBE).

Cell lengths 7.477, 7.477, 7.477 Å; angles 31.48, 31.48, 31.48 degrees
Sites, in units of the cell vectors:
1 Y 0.000 0.000 0.000
2 Y 0.184 0.184 0.184
3 Pt 0.592 0.592 0.592
4 Se 0.760 0.760 0.760

Output
* space-group type: No. 160
* spin magnetization: 0.0 Bohr magnetons per cell
* formation energy without anion corrections: -1.44 eV/atom
* Fermi-level density of states: 1.0 states/eV per cell
* crystal system: trigonal
* mass density: 7.4 Mg/m³

=====

[11]
Entry from Alexandria: crystalline Y2PtSe at its relaxed geometry (PBE).

Cell lengths 3.523, 3.569, 7.143 Å; angles 90.00, 90.52, 90.00 degrees
Sites, in units of the cell vectors:
1 Y 0.001 0.000 0.238
2 Y 0.999 0.000 0.762
3 Pt 0.500 0.500 0.000
4 Se 0.500 0.500 0.500

Output
* space-group type: No. 10
* spin magnetization: 0.0 Bohr magnetons per cell
* formation energy without anion corrections: -1.28 eV/atom
* Fermi-level density of states: 3.2 states/eV per cell
* crystal system: monoclinic
* mass density: 8.4 Mg/m³

=====

[12]
Entry from Alexandria: crystalline YPt2Se at its relaxed geometry (PBE).

Cell lengths 3.783, 3.783, 5.727 Å; angles 90.00, 90.00, 90.00 degrees
Sites, in units of the cell vectors:
1 Y 0.000 0.000 0.000
2 Pt 0.000 0.000 0.463
3 Pt 0.500 0.500 0.368
4 Se 0.500 0.500 0.822

Output
* space-group type: No. 99
* spin magnetization: 0.0 Bohr magnetons per cell
* formation energy without anion corrections: -0.76 eV/atom
* Fermi-level density of states: 1.9 states/eV per cell
* crystal system: tetragonal
* mass density: 11.3 Mg/m³

=====

[13]
Entry from Alexandria: crystalline Y2PtSe at its relaxed geometry (PBE).

Cell lengths 5.002, 5.002, 5.002 Å; angles 60.00, 60.00, 60.00 degrees
Sites, in units of the cell vectors:
1 Y 0.000 0.000 0.000
2 Y 0.250 0.250 0.250
3 Pt 0.750 0.750 0.750
4 Se 0.500 0.500 0.500

Output
* space-group type: No. 216
* spin magnetization: 0.0 Bohr magnetons per cell
* formation energy without anion corrections: -0.38 eV/atom
* Fermi-level density of states: 4.4 states/eV per cell
* crystal system: cubic
* mass density: 8.5 Mg/m³

=====

[14]
Entry from Alexandria: crystalline Y2Pt2Se at its relaxed geometry (PBE).

Cell lengths 7.844, 7.844, 3.724 Å; angles 90.00, 90.00, 90.00 degrees
Sites, in units of the cell vectors:
1 Y 0.174 0.326 0.000
2 Y 0.326 0.826 0.000
3 Y 0.674 0.174 0.000
4 Y 0.826 0.674 0.000
5 Pt 0.123 0.623 0.500
6 Pt 0.377 0.123 0.500
7 Pt 0.623 0.877 0.500
8 Pt 0.877 0.377 0.500
9 Se 0.000 0.000 0.000
10 Se 0.500 0.500 0.000

Output
* space-group type: No. 127
* spin magnetization: 0.0 Bohr magnetons per cell
* formation energy without anion corrections: -1.15 eV/atom
* Fermi-level density of states: 1.4 states/eV per cell
* crystal system: tetragonal
* mass density: 9.4 Mg/m³
* excess energy over the best structure of this formula in the dataset: 0.11 eV/f.u.

=====

[15]
Entry from Alexandria: crystalline Y2PtSe at its relaxed geometry (PBE).

Cell lengths 11.449, 11.449, 4.319 Å; angles 90.00, 90.00, 160.51 degrees
Sites, in units of the cell vectors:
1 Y 0.062 0.938 0.750
2 Y 0.324 0.676 0.750
3 Y 0.676 0.324 0.250
4 Y 0.938 0.062 0.250
5 Pt 0.454 0.546 0.750
6 Pt 0.546 0.454 0.250
7 Se 0.193 0.807 0.750
8 Se 0.807 0.193 0.250

Output
* space-group type: No. 63
* spin magnetization: 0.0 Bohr magnetons per cell
* formation energy without anion corrections: -1.52 eV/atom
* Fermi-level density of states: 4.8 states/eV per cell
* crystal system: orthorhombic
* mass density: 7.9 Mg/m³

=====

[16]
Entry from Alexandria: crystalline YPt2Se at its relaxed geometry (PBE).

Cell lengths 5.499, 5.499, 5.499 Å; angles 140.00, 134.42, 62.23 degrees
Sites, in units of the cell vectors:
1 Y 0.000 0.000 0.000
2 Pt 0.262 0.762 0.500
3 Pt 0.738 0.238 0.500
4 Se 0.500 0.500 0.000

Output
* space-group type: No. 71
* spin magnetization: 0.0 Bohr magnetons per cell
* formation energy without anion corrections: -0.85 eV/atom
* Fermi-level density of states: 1.1 states/eV per cell
* crystal system: orthorhombic
* mass density: 12.3 Mg/m³

=====

[17]
Entry from Alexandria: crystalline Y2PtSe at its relaxed geometry (PBE).

Cell lengths 7.610, 7.610, 7.610 Å; angles 151.66, 151.52, 40.61 degrees
Sites, in units of the cell vectors:
1 Y 0.000 0.000 0.000
2 Y 0.763 0.263 0.500
3 Pt 0.417 0.417 0.000
4 Se 0.170 0.670 0.500

Output
* space-group type: No. 44
* spin magnetization: 0.0 Bohr magnetons per cell
* formation energy without anion corrections: -1.31 eV/atom
* Fermi-level density of states: 3.6 states/eV per cell
* crystal system: orthorhombic
* mass density: 7.5 Mg/m³

=====

[18]
Entry from Alexandria: crystalline Y2Pt2Se7 at its relaxed geometry (PBE).

Cell lengths 9.093, 9.093, 9.093 Å; angles 60.00, 60.00, 60.00 degrees
Sites, in units of the cell vectors:
1 Y 0.000 0.000 0.000
2 Y 0.000 0.000 0.500
3 Y 0.000 0.500 0.000
4 Y 0.500 0.000 0.000
5 Pt 0.000 0.500 0.500
6 Pt 0.500 0.000 0.500
7 Pt 0.500 0.500 0.000
8 Pt 0.500 0.500 0.500
9 Se 0.125 0.125 0.125
10 Se 0.161 0.161 0.589
11 Se 0.161 0.589 0.161
12 Se 0.161 0.589 0.589
13 Se 0.411 0.411 0.839
14 Se 0.411 0.839 0.411
15 Se 0.411 0.839 0.839
16 Se 0.589 0.161 0.161
17 Se 0.589 0.161 0.589
18 Se 0.589 0.589 0.161
19 Se 0.839 0.411 0.411
20 Se 0.839 0.411 0.839
21 Se 0.839 0.839 0.411
22 Se 0.875 0.875 0.875

Output
* space-group type: No. 227
* spin magnetization: 0.0 Bohr magnetons per cell
* formation energy without anion corrections: -0.97 eV/atom
* Fermi-level density of states: 4.1 states/eV per cell
* crystal system: cubic
* mass density: 7.0 Mg/m³

=====

[19]
Entry from Alexandria: crystalline Y2PtSe at its relaxed geometry (PBE).

Cell lengths 4.025, 4.025, 7.448 Å; angles 105.74, 105.74, 60.09 degrees
Sites, in units of the cell vectors:
1 Y 0.244 0.244 0.232
2 Y 0.756 0.756 0.768
3 Pt 0.500 0.500 0.000
4 Se 0.000 0.000 0.500

Output
* space-group type: No. 12
* spin magnetization: 0.0 Bohr magnetons per cell
* formation energy without anion corrections: -1.47 eV/atom
* Fermi-level density of states: 2.7 states/eV per cell
* crystal system: monoclinic
* mass density: 7.6 Mg/m³

=====

[20]
Entry from Alexandria: crystalline Y2PtSe at its relaxed geometry (PBE).

Cell lengths 5.067, 5.067, 3.460 Å; angles 90.00, 90.00, 90.00 degrees
Sites, in units of the cell vectors:
1 Y 0.000 0.500 0.000
2 Y 0.500 0.000 0.000
3 Pt 0.000 0.000 0.500
4 Se 0.500 0.500 0.500

Output
* space-group type: No. 123
* spin magnetization: 0.0 Bohr magnetons per cell
* formation energy without anion corrections: -1.23 eV/atom
* Fermi-level density of states: 3.5 states/eV per cell
* crystal system: tetragonal
* mass density: 8.4 Mg/m³